{
  "formula": "PuNpGa4",
  "functional": "PBE",
  "state": "optimized geometry",
  "e_form_ev_per_atom": -0.28,
  "de_polymorph_mev_per_atom": 0.0,
  "space_group": "F-43m",
  "dft_energy_ev_per_atom": -6.84,
  "lattice": [[-4.677, 2.828, -0.437], [-4.750, -2.313, 1.466], [-2.603, 1.707, 4.514]],
  "species": ["Np", "Ga", "Ga", "Ga", "Ga", "Pu"],
  "fractional_positions": [[0.000, 0.000, 0.000], [0.625, 0.625, 0.125], [0.625, 0.125, 0.625], [0.625, 0.625, 0.625], [0.125, 0.625, 0.625], [0.250, 0.250, 0.250]]
}